# 1
First-principles (PBE) data for crystalline AlHg2PdRu at its relaxed geometry, as listed in the Alexandria database.

## Properties
M_tot: 2.11 μB/f.u.
DFT formation energy: 956 meV per atom

a b c (Å): 4.9398 4.9398 4.5489
angles (deg): 90.00 90.00 90.00
Space group P4/mmm (No. 123)
Inequivalent atoms, fractional coordinates:
Al 0.0000 0.0000 0.0000
Hg 0.0000 0.5000 0.0000
Pd 0.0000 0.0000 0.5000
Ru 0.5000 0.5000 0.5000

***

# 2
First-principles (PBE) data for crystalline TiInPd2 at its relaxed geometry, as listed in the Alexandria database.

## Properties
M_tot: 0.00 μB/f.u.
DFT formation energy: -371 meV per atom

a b c (Å): 5.3652 3.0769 8.6851
angles (deg): 90.00 102.02 90.00
Space group Cm (No. 8)
Inequivalent atoms, fractional coordinates:
Ti 0.0000 0.0000 0.0000
In 0.1674 0.0000 0.5001
Pd 0.0921 0.5000 0.7679
Pd 0.4091 0.0000 0.2329